# 1
VASP calculation (GGA-PBE) on an optimized crystal structure of MgNpInSn.

Cell: 4.400 4.635 4.824 Å, 90.00 90.00 90.00°
Positions (direct):
Mg1 0.000 0.000 0.000
Np1 0.000 0.500 0.500
In1 0.500 0.500 0.000
Sn1 0.500 0.000 0.500

Computed properties:
DFT total energy: -5.3723 eV/atom
E_form: -5.13 kJ/mol of atoms
Distance to the lowest polymorph of the same formula: 0 meV per atom

# 2
VASP calculation (GGA-PBE) on an optimized crystal structure of Tb2Sm7Er.

Cell: 9.530 9.530 5.444 Å, 90.00 90.00 125.39°
Positions (direct):
Tb1 0.205 0.795 0.000
Tb2 0.795 0.205 0.000
Sm1 0.000 0.000 0.000
Sm2 0.211 0.431 0.000
Sm3 0.295 0.705 0.500
Sm4 0.431 0.211 0.000
Sm5 0.569 0.789 0.000
Sm6 0.705 0.295 0.500
Sm7 0.789 0.569 0.000
Er1 0.500 0.500 0.500

Computed properties:
DFT total energy: -4.0279 eV/atom
E_form: 63.48 kJ/mol of atoms
Distance to the lowest polymorph of the same formula: 258 meV per atom